No. 1
A relaxed KSrBeBr5 crystal. Source: the Alexandria database, functional PBE.

Properties
Its density is 3.1 g/cm3. The final energy is -0.2536 Ry per atom.

Geometry as CIF:
```
data_KSrBeBr5
_symmetry_space_group_name_H-M 'P 1'
_symmetry_Int_Tables_number 1
_symmetry_space_group_name_Hall 'P 1'
_cell_length_a 7.8340
_cell_length_b 7.8340
_cell_length_c 10.6287
_cell_angle_alpha 104.25
_cell_angle_beta 104.25
_cell_angle_gamma 105.06
loop_
_atom_site_label
_atom_site_fract_x
_atom_site_fract_y
_atom_site_fract_z
_atom_site_occupancy
K1 0.1405 0.8595 0.7500 1
K2 0.8595 0.1405 0.2500 1
Sr1 0.5000 0.5000 0.0000 1
Sr2 0.5000 0.5000 0.5000 1
Be1 0.1850 0.8150 0.2500 1
Be2 0.8150 0.1850 0.7500 1
Br1 0.0790 0.2412 0.9166 1
Br2 0.1612 0.5902 0.3434 1
Br3 0.2412 0.0790 0.4166 1
Br4 0.3957 0.6043 0.7500 1
Br5 0.4098 0.8388 0.1566 1
Br6 0.5902 0.1612 0.8434 1
Br7 0.6043 0.3957 0.2500 1
Br8 0.7588 0.9210 0.5834 1
Br9 0.8388 0.4098 0.6566 1
Br10 0.9210 0.7588 0.0834 1
```

No. 2
A relaxed IrPbW2Cl crystal. Source: the Alexandria database, functional PBE.

Properties
Its density is 14.4 g/cm3. The final energy is -0.4727 Ry per atom.

Geometry as CIF:
```
data_IrPbW2Cl
_symmetry_space_group_name_H-M 'P 1'
_symmetry_Int_Tables_number 1
_symmetry_space_group_name_Hall 'P 1'
_cell_length_a 4.5332
_cell_length_b 4.5332
_cell_length_c 4.5181
_cell_angle_alpha 90.00
_cell_angle_beta 90.00
_cell_angle_gamma 90.00
loop_
_atom_site_label
_atom_site_fract_x
_atom_site_fract_y
_atom_site_fract_z
_atom_site_occupancy
Ir1 0.0000 0.0000 0.0000 1
Pb1 0.5000 0.5000 0.0000 1
W1 0.0000 0.5000 0.5000 1
W2 0.5000 0.0000 0.5000 1
Cl1 0.0000 0.0000 0.5000 1
```

No. 3
A relaxed Ba3SeBr crystal. Source: the Alexandria database, functional PBE.

Properties
Its density is 3.7 g/cm3. As for the energy above the most stable polymorph in this dataset: 0 meV/atom. The final energy is -0.2321 Ry per atom.

Geometry as CIF:
```
data_Ba3SeBr
_symmetry_space_group_name_H-M 'P 1'
_symmetry_Int_Tables_number 1
_symmetry_space_group_name_Hall 'P 1'
_cell_length_a 6.3281
_cell_length_b 6.3281
_cell_length_c 6.3281
_cell_angle_alpha 90.00
_cell_angle_beta 90.00
_cell_angle_gamma 90.00
loop_
_atom_site_label
_atom_site_fract_x
_atom_site_fract_y
_atom_site_fract_z
_atom_site_occupancy
Ba1 0.0000 0.0000 0.5000 1
Ba2 0.0000 0.5000 0.0000 1
Ba3 0.5000 0.0000 0.0000 1
Se1 0.0000 0.0000 0.0000 1
Br1 0.5000 0.5000 0.5000 1
```

No. 4
A relaxed ScTa2Pt2 crystal. Source: the Alexandria database, functional PBE.

Properties
For the formation enthalpy at 0 K, the calculation gives -2.50 eV per formula unit. Its density is 14.4 g/cm3. As for the energy above the most stable polymorph in this dataset: 0 meV/atom. The final energy is -0.6558 Ry per atom.

Geometry as CIF:
```
data_ScTa2Pt2
_symmetry_space_group_name_H-M 'P 1'
_symmetry_Int_Tables_number 1
_symmetry_space_group_name_Hall 'P 1'
_cell_length_a 7.4988
_cell_length_b 7.4988
_cell_length_c 3.2612
_cell_angle_alpha 90.00
_cell_angle_beta 90.00
_cell_angle_gamma 90.00
loop_
_atom_site_label
_atom_site_fract_x
_atom_site_fract_y
_atom_site_fract_z
_atom_site_occupancy
Sc1 0.0000 0.0000 0.0000 1
Sc2 0.5000 0.5000 0.0000 1
Ta1 0.1727 0.3273 0.5000 1
Ta2 0.3273 0.8273 0.5000 1
Ta3 0.6727 0.1727 0.5000 1
Ta4 0.8273 0.6727 0.5000 1
Pt1 0.1277 0.6277 0.0000 1
Pt2 0.3723 0.1277 0.0000 1
Pt3 0.6277 0.8723 0.0000 1
Pt4 0.8723 0.3723 0.0000 1
```